DFT (PBE) results for a relaxed Mg2Al5Ir3 crystal.

```
Mg2Al5Ir3
1.0
-0.793 -5.199 -1.418
7.851 -0.306 0.006
-1.743 -0.916 7.606
Mg Al Ir
4 10 6
Cartesian
3.720 -5.063 -0.057 Mg
-0.104 -2.732 3.996 Mg
1.595 -1.358 6.250 Mg
5.419 -3.689 2.197 Mg
0.023 -3.946 6.526 Al
7.036 -0.926 1.993 Al
5.292 -2.475 -0.332 Al
-1.721 -5.496 4.200 Al
3.613 -5.915 4.864 Al
1.702 -0.506 1.329 Al
2.557 -4.504 2.664 Al
2.758 -1.917 3.529 Al
0.549 -3.154 1.219 Al
4.766 -3.267 4.974 Al
2.163 -3.922 5.169 Ir
5.234 -1.153 3.760 Ir
3.152 -2.499 1.024 Ir
0.081 -5.269 2.433 Ir
-1.857 -2.211 7.185 Ir
7.172 -4.211 -0.991 Ir
```

Output
**Uncorrected energy**: -109.28 eV for the cell shown
**Density of states at the Fermi level**: 7.8 states/eV per cell
**Formation energy**: -6.16 eV per formula unit


DFT (PBE) results for a relaxed AlSiAu crystal.

```
AlSiAu
1.0
-0.855 -0.761 -3.591
2.283 -2.303 1.921
-6.772 -7.238 3.150
Si Au Al
2 2 2
Cartesian
0.214 -3.625 1.789 Si
-0.176 -2.668 -0.299 Si
-1.701 -4.940 2.527 Au
-4.917 -7.301 -0.161 Au
-5.005 -8.583 2.110 Al
-3.877 -5.192 1.122 Al
```

Output
**Uncorrected energy**: -25.48 eV for the cell shown
**ΔE_f (raw)**: -0.0991 eV per atom
**Density of states at the Fermi level**: 2.5 states/eV per cell


DFT (PBE) results for a relaxed Ca3HW crystal.

```
Ca3HW
1.0
4.828 0.000 0.000
0.000 4.828 0.000
0.000 0.000 4.828
H Ca W
1 3 1
Cartesian
0.000 0.000 0.000 H
0.000 2.414 0.000 Ca
0.000 0.000 2.414 Ca
2.414 0.000 0.000 Ca
2.414 2.414 2.414 W
```

Output
**Uncorrected energy**: -19.39 eV for the cell shown
**Density of states at the Fermi level**: 5.9 states/eV per cell


DFT (PBE) results for a relaxed HoSc5Ag6 crystal.

```
HoSc5Ag6
1.0
4.727 0.018 -1.384
-0.943 6.039 -3.145
-0.093 0.502 8.504
Sc Ho Ag
5 1 6
Cartesian
2.961 1.182 1.381 Sc
1.197 2.347 4.149 Sc
-0.472 3.020 -1.572 Sc
2.494 4.212 -0.173 Sc
0.729 5.377 2.594 Sc
0.000 0.000 0.000 Ho
3.319 3.807 2.653 Ag
3.779 0.863 4.186 Ag
1.576 4.959 5.495 Ag
2.115 1.600 -1.520 Ag
-0.088 5.696 -0.211 Ag
0.371 2.752 1.323 Ag
```

Output
**Uncorrected energy**: -56.64 eV for the cell shown
**Density of states at the Fermi level**: 8.0 states/eV per cell
**Formation energy**: -3.30 eV per formula unit


DFT (PBE) results for a relaxed CsRb2Sc crystal.

```
CsRb2Sc
1.0
0.000 5.085 5.085
5.085 0.000 5.085
5.085 5.085 0.000
Cs Sc Rb
1 1 2
Cartesian
5.085 5.085 5.085 Cs
0.000 0.000 0.000 Sc
2.543 2.543 2.543 Rb
7.628 7.628 7.628 Rb
```

Output
**Uncorrected energy**: -6.54 eV for the cell shown
**Density of states at the Fermi level**: 11.6 states/eV per cell
**Formation energy**: 2.58 eV per formula unit


DFT (PBE) results for a relaxed Dy3YNi crystal.

```
Dy3YNi
1.0
-3.864 3.459 -1.132
-3.319 -2.672 3.167
1.494 3.013 4.107
Y Ni Dy
1 1 3
Cartesian
-2.845 1.900 3.071 Y
0.000 0.000 0.000 Ni
-1.659 -1.336 1.583 Dy
0.747 1.506 2.054 Dy
-1.932 1.730 -0.566 Dy
```

Output
**Uncorrected energy**: -26.22 eV for the cell shown
**Density of states at the Fermi level**: 10.2 states/eV per cell
**Formation energy**: -0.16 eV per formula unit


- density of states at the Fermi level of number 3 (Ca3HW)?
  5.9 states/eV per cell


- Which of these has the highest uncorrected energy?
  CsRb2Sc


- The highest uncorrected energy belongs to which entry?
  CsRb2Sc